VASP calculation (PBE) on a geometry-optimized Sr2ZnNi3Ge4 structure.

Values from the calculation:
ΔE_f	-0.45	eV/atom

Lattice parameters (Å, degrees): 4.2529 4.2529 10.0891 90.00 90.00 90.00
Last column: nearest neighbours and their distance in Å.
Positions (direct):
Sr1 0.0000 0.5000 0.2480  8 Ge 3.22-3.28, 6 Ni 3.28-3.31, 2 Zn 3.31
Sr2 0.5000 0.0000 0.7520  8 Ge 3.22-3.28, 6 Ni 3.28-3.31, 2 Zn 3.31
Zn1 0.0000 0.0000 0.5000  4 Ge 2.54
Ni1 0.0000 0.5000 0.8814  5 Ge 2.44-2.46
Ni2 0.5000 0.0000 0.1186  5 Ge 2.44-2.46
Ni3 0.5000 0.5000 0.5000  4 Ge 2.54
Ge1 0.0000 0.0000 0.0000  4 Ni 2.44
Ge2 0.0000 0.5000 0.6380  3 Ni 2.46-2.54, 2 Zn 2.54
Ge3 0.5000 0.0000 0.3620  3 Ni 2.46-2.54, 2 Zn 2.54
Ge4 0.5000 0.5000 0.0000  4 Ni 2.44